Run 1
VASP calculation (PBE) on SnPd5Pb after structural relaxation.

Structure (POSCAR):
```
SnPd5Pb
1.0
3.614 -3.869 0.000
3.614 3.869 0.000
-3.465 0.000 8.917
Sn Pd Pb
2 10 2
Cartesian
1.015 3.841 6.688
2.747 -3.841 2.229
-0.533 2.695 8.588
-0.152 1.421 5.880
2.562 2.695 4.788
2.747 1.233 2.229
1.581 -1.421 1.422
2.181 1.421 7.495
1.015 -1.233 6.688
1.200 -2.695 4.130
3.914 -1.421 3.037
4.295 -2.695 0.329
3.614 0.000 0.000
1.881 0.000 4.459
```

Calculated values
* density: 11.4 g/cm3
* space group: C2/c, No. 15



Run 2
VASP calculation (PBE) on SnPd5Pb after structural relaxation.

Structure (POSCAR):
```
SnPd5Pb
1.0
4.138 0.000 0.000
0.000 4.138 0.000
0.000 0.000 7.479
Sn Pd Pb
1 5 1
Cartesian
0.000 0.000 0.000
0.000 0.000 3.740
0.000 2.069 1.701
0.000 2.069 5.778
2.069 0.000 1.701
2.069 0.000 5.778
2.069 2.069 3.740
```

Calculated values
* density: 11.1 g/cm3
* space group: P4/mmm, No. 123



Ranking the structures above from most stable to least stable yields run 2, run 1.